# LaSm2YP4 | Alexandria via LeMat-Bulk | PBE | relaxed
# Formation energy = -1.57 eV/atom
# Total DFT energy (no corrections) = -6.882 eV per atom
data_LaSm2YP4
_chemical_formula_sum 'La1 Sm2 Y1 P4'
_cell_length_a 7.1462
_cell_length_b 4.1301
_cell_length_c 7.1495
_cell_angle_alpha 90.00
_cell_angle_beta 109.41
_cell_angle_gamma 90.00
_space_group_name_H-M_alt 'P 1 2/m 1'
_space_group_IT_number 10
_space_group_name_Hall '-P 2y'
loop_
_atom_site_label
_atom_site_type_symbol
_atom_site_fract_x
_atom_site_fract_y
_atom_site_fract_z
La1 La 0.0000 0.0000 0.0000
Sm1 Sm 0.0000 0.5000 0.5000
Sm2 Sm 0.5000 0.0000 0.5000
Y1 Y 0.5000 0.5000 0.0000
P1 P 0.2560 0.0000 0.7510
P2 P 0.2570 0.5000 0.2535

# CdSnHgSe4 | Alexandria via LeMat-Bulk | PBE | relaxed
# Formation energy (no corrections) = -329 meV/atom
# Total DFT energy (no corrections) = -3.065 eV per atom
data_CdSnHgSe4
_chemical_formula_sum 'Cd4 Sn4 Hg4 Se16'
_cell_length_a 8.1783
_cell_length_b 8.2540
_cell_length_c 11.6109
_cell_angle_alpha 90.00
_cell_angle_beta 90.00
_cell_angle_gamma 90.00
_space_group_name_H-M_alt 'I m m a'
_space_group_IT_number 74
_space_group_name_Hall '-I 2b 2'
loop_
_atom_site_label
_atom_site_type_symbol
_atom_site_fract_x
_atom_site_fract_y
_atom_site_fract_z
Cd1 Cd 0.2500 0.2500 0.2500
Sn1 Sn 0.0000 0.0000 0.0000
Hg1 Hg 0.0000 0.2500 0.6476
Se1 Se 0.0000 0.0235 0.2327
Se2 Se 0.2323 0.2500 0.0029